# 1
A plane-wave DFT calculation with PBE was carried out for a relaxed structure of YCdBiO4.

abc: 10.8622 10.8622 10.8622
angles: 102.25 102.25 125.14
Atoms (fractional coordinates):
Bi1 0.4701 0.3269 0.1432
Bi2 0.6731 0.8163 0.1432
Bi3 0.0769 0.4337 0.3568
Bi4 0.2799 0.9231 0.3568
Bi5 0.0769 0.7201 0.6432
Bi6 0.5663 0.9231 0.6432
Bi7 0.1837 0.3269 0.8568
Bi8 0.6731 0.5299 0.8568
Cd1 0.8750 0.5019 0.1269
Cd2 0.2519 0.6250 0.1269
Cd3 0.4981 0.6250 0.3731
Cd4 0.8750 0.7481 0.3731
Cd5 0.2519 0.1250 0.6269
Cd6 0.3750 0.5019 0.6269
Cd7 0.4981 0.1250 0.8731
Cd8 0.3750 0.7481 0.8731
O1 0.6124 0.3876 0.0000
O2 0.3876 0.6124 0.0000
O3 0.4035 0.0721 0.0284
O4 0.6248 0.9563 0.0284
O5 0.8221 0.2937 0.1685
O6 0.3465 0.8748 0.1685
O7 0.0655 0.2632 0.1978
O8 0.1323 0.9345 0.1978
O9 0.6124 0.6124 0.2249
O10 0.1376 0.6376 0.2751
O11 0.6177 0.3155 0.3022
O12 0.6845 0.9868 0.3022
O13 0.4035 0.3752 0.3315
O14 0.9279 0.9563 0.3315
O15 0.3465 0.1779 0.4716
O16 0.1252 0.2937 0.4716
O17 0.3624 0.6376 0.5000
O18 0.1376 0.8624 0.5000
O19 0.8221 0.6535 0.5284
O20 0.7063 0.8748 0.5284
O21 0.0437 0.0721 0.6685
O22 0.6248 0.5965 0.6685
O23 0.0132 0.3155 0.6978
O24 0.6845 0.3823 0.6978
O25 0.3624 0.8624 0.7249
O26 0.3876 0.3876 0.7751
O27 0.0655 0.8677 0.8022
O28 0.7368 0.9345 0.8022
O29 0.7063 0.1779 0.8315
O30 0.1252 0.6535 0.8315
O31 0.0437 0.3752 0.9716
O32 0.9279 0.5965 0.9716
Y1 0.8451 0.1549 0.0000
Y2 0.1549 0.8451 0.0000
Y3 0.5951 0.0951 0.1903
Y4 0.1549 0.1549 0.3097
Y5 0.9049 0.0951 0.5000
Y6 0.5951 0.4049 0.5000
Y7 0.8451 0.8451 0.6903
Y8 0.9049 0.4049 0.8097

Calculated volume = 930.2 Å³ per cell
Total energy = -6.32 eV/atom
Space group = I4_1/amd

=====

# 2
A plane-wave DFT calculation with PBE was carried out for a relaxed structure of GeTe3IrAu.

abc: 7.3020 7.3020 10.6972
angles: 90.00 90.00 147.43
Atoms (fractional coordinates):
Au1 0.1826 0.8174 0.2500
Au2 0.8174 0.1826 0.7500
Ge1 0.8089 0.1911 0.2500
Ge2 0.1911 0.8089 0.7500
Ir1 0.5000 0.5000 0.0000
Ir2 0.5000 0.5000 0.5000
Te1 0.1239 0.8761 0.0124
Te2 0.4528 0.5472 0.2500
Te3 0.1239 0.8761 0.4876
Te4 0.8761 0.1239 0.5124
Te5 0.5472 0.4528 0.7500
Te6 0.8761 0.1239 0.9876

Calculated volume = 307.1 Å³ per cell
Total energy = -4.46 eV/atom
Space group = Cmcm

=====

# 3
A plane-wave DFT calculation with PBE was carried out for a relaxed structure of Te2PtI.

abc: 4.1056 4.1056 8.0888
angles: 102.98 102.98 60.09
Atoms (fractional coordinates):
I1 0.0000 0.0000 0.0000
Pt1 0.5000 0.5000 0.5000
Te1 0.7857 0.7857 0.3300
Te2 0.2143 0.2143 0.6700

Calculated volume = 114.1 Å³ per cell
Total energy = -3.79 eV/atom
Space group = C2/m

=====

# 4
A plane-wave DFT calculation with PBE was carried out for a relaxed structure of Zr2ZnO4.

abc: 6.3149 6.3149 6.3149
angles: 120.00 90.00 120.00
Atoms (fractional coordinates):
O1 0.6223 0.2446 0.3777
O2 0.1331 0.7554 0.3777
O3 0.6223 0.7554 0.3777
O4 0.1277 0.2554 0.3831
O5 0.6223 0.2446 0.8669
O6 0.1277 0.7446 0.8723
O7 0.1277 0.2554 0.8723
O8 0.6169 0.7446 0.8723
Zn1 0.0000 0.0000 0.0000
Zn2 0.7500 0.5000 0.2500
Zr1 0.3750 0.7500 0.1250
Zr2 0.3750 0.2500 0.6250
Zr3 0.8750 0.2500 0.6250
Zr4 0.3750 0.7500 0.6250

Calculated volume = 178.1 Å³ per cell
Total energy = -7.89 eV/atom
Space group = Fd-3m